Material: LiMn2B2O6
Method: DFT, GGA+U
State: relaxed

Geometry as CIF:
```
data_LiMn2B2O6
_chemical_formula_sum 'Li1 Mn2 B2 O6'
_symmetry_space_group_name_H-M 'P 1'
_symmetry_Int_Tables_number 1
_cell_length_a 5.1706
_cell_length_b 5.2810
_cell_length_c 5.8379
_cell_angle_alpha 66.49
_cell_angle_beta 68.41
_cell_angle_gamma 60.75
loop_
_symmetry_equiv_pos_as_xyz
'x,y,z'
loop_
_atom_site_label
_atom_site_type_symbol
_atom_site_fract_x
_atom_site_fract_y
_atom_site_fract_z
Li1 Li 0.0000 0.0000 0.0000
Mn1 Mn 0.4439 0.1748 0.5855
Mn2 Mn 0.6646 0.6276 0.0869
B1 B 0.3219 0.3066 0.0876
B2 B 0.7699 0.4918 0.6013
O1 O 0.0071 0.2233 0.6407
O2 O 0.0789 0.5807 0.0680
O3 O 0.3408 0.0743 0.0187
O4 O 0.5682 0.5565 0.4558
O5 O 0.5719 0.2608 0.1671
O6 O 0.6919 0.7109 0.7207
```

Output
- energy (eV/atom) = -7.500
- M_tot (μB/atom) = 0.818
- space group = P1 (1)